{
  "formula": "Tm2IrF2",
  "functional": "PBE",
  "state": "optimized geometry",
  "final_energy_ry_per_atom": -0.374,
  "crystal_system": "tetragonal",
  "cell": [[-3.094, 3.094, 4.811], [3.094, -3.094, 4.811], [3.094, 3.094, -4.811]],
  "species": ["F", "F", "F", "F", "Ir", "Ir", "Tm", "Tm", "Tm", "Tm"],
  "fractional_positions": [[0.216, 0.216, 0.000], [0.784, 0.784, 0.000], [0.534, 0.034, 0.500], [0.966, 0.466, 0.500], [0.000, 0.000, 0.000], [0.750, 0.250, 0.500], [0.375, 0.625, 0.250], [0.875, 0.625, 0.250], [0.375, 0.125, 0.750], [0.375, 0.625, 0.750]]
}



{
  "formula": "K2LiPtF6",
  "functional": "PBE",
  "state": "optimized geometry",
  "final_energy_ry_per_atom": -0.319,
  "crystal_system": "monoclinic",
  "cell": [[-4.135, -3.921, 0.688], [-0.455, -0.519, -5.695], [9.586, -1.824, -0.600]],
  "species": ["F", "F", "F", "F", "F", "F", "F", "F", "F", "F", "F", "F", "K", "K", "K", "K", "Li", "Li", "Pt", "Pt"],
  "fractional_positions": [[0.777, 0.270, 0.013], [0.771, 0.787, 0.017], [0.279, 0.006, 0.250], [0.721, 0.506, 0.250], [0.229, 0.287, 0.483], [0.223, 0.770, 0.487], [0.777, 0.230, 0.513], [0.771, 0.713, 0.517], [0.279, 0.494, 0.750], [0.721, 0.994, 0.750], [0.229, 0.213, 0.983], [0.223, 0.730, 0.987], [0.749, 0.009, 0.249], [0.251, 0.509, 0.251], [0.749, 0.491, 0.749], [0.251, 0.991, 0.751], [0.000, 0.000, 0.000], [0.000, 0.500, 0.500], [0.500, 0.500, 0.000], [0.500, 0.000, 0.500]]
}



{
  "formula": "K2LiPtF6",
  "functional": "PBE",
  "state": "optimized geometry",
  "final_energy_ry_per_atom": -0.317,
  "crystal_system": "cubic",
  "cell": [[4.900, -2.832, 0.000], [4.900, 2.832, 0.000], [-3.266, 0.000, 4.624]],
  "species": ["F", "F", "F", "F", "F", "F", "K", "K", "Li", "Pt"],
  "fractional_positions": [[0.743, 0.256, 0.257], [0.256, 0.743, 0.257], [0.257, 0.257, 0.258], [0.743, 0.743, 0.742], [0.744, 0.257, 0.743], [0.257, 0.744, 0.743], [0.750, 0.750, 0.250], [0.250, 0.250, 0.750], [0.500, 0.500, 0.500], [0.000, 0.000, 0.000]]
}



{
  "formula": "K2LiPtF6",
  "functional": "PBE",
  "state": "optimized geometry",
  "final_energy_ry_per_atom": -0.317,
  "crystal_system": "trigonal",
  "cell": [[2.833, 1.635, 4.647], [-2.833, 1.635, 4.647], [0.000, -3.271, 4.647]],
  "species": ["F", "F", "F", "F", "F", "F", "K", "K", "Li", "Pt"],
  "fractional_positions": [[0.258, 0.744, 0.256], [0.744, 0.742, 0.256], [0.744, 0.256, 0.258], [0.256, 0.744, 0.742], [0.256, 0.258, 0.744], [0.742, 0.256, 0.744], [0.250, 0.250, 0.250], [0.750, 0.750, 0.750], [0.500, 0.500, 0.500], [0.000, 0.000, 0.000]]
}



{
  "formula": "K2LiPtF6",
  "functional": "PBE",
  "state": "optimized geometry",
  "final_energy_ry_per_atom": -0.318,
  "crystal_system": "tetragonal",
  "cell": [[3.280, -3.934, -2.438], [-1.027, -3.406, 4.418], [-4.366, 2.158, -2.909]],
  "species": ["F", "F", "F", "F", "F", "F", "K", "K", "Li", "Pt"],
  "fractional_positions": [[0.760, 0.240, 0.000], [0.251, 0.251, 0.000], [0.749, 0.749, 0.000], [0.240, 0.760, 0.000], [0.240, 0.240, 0.480], [0.760, 0.760, 0.520], [0.750, 0.250, 0.500], [0.250, 0.750, 0.500], [0.000, 0.000, 0.000], [0.500, 0.500, 0.000]]
}



{
  "formula": "K2LiPtF6",
  "functional": "PBE",
  "state": "optimized geometry",
  "final_energy_ry_per_atom": -0.319,
  "crystal_system": "tetragonal",
  "cell": [[-2.380, -3.774, 3.367], [3.555, 1.398, 4.080], [-2.971, 9.535, -0.678]],
  "species": ["F", "F", "F", "F", "F", "F", "F", "F", "F", "F", "F", "F", "K", "K", "K", "K", "Li", "Li", "Pt", "Pt"],
  "fractional_positions": [[0.752, 0.251, 0.000], [0.752, 0.749, 0.000], [0.232, 0.500, 0.232], [0.768, 0.000, 0.268], [0.248, 0.249, 0.500], [0.248, 0.751, 0.500], [0.752, 0.249, 0.500], [0.752, 0.751, 0.500], [0.232, 0.000, 0.732], [0.768, 0.500, 0.768], [0.248, 0.251, 0.000], [0.248, 0.749, 0.000], [0.250, 0.000, 0.250], [0.750, 0.500, 0.250], [0.250, 0.500, 0.750], [0.750, 0.000, 0.750], [0.000, 0.500, 0.000], [0.000, 0.000, 0.500], [0.500, 0.000, 0.000], [0.500, 0.500, 0.500]]
}



{
  "formula": "K2LiPtF6",
  "functional": "PBE",
  "state": "optimized geometry",
  "final_energy_ry_per_atom": -0.316,
  "crystal_system": "trigonal",
  "cell": [[-9.963, -2.083, -0.317], [-8.973, 0.075, 4.814], [-9.551, 3.514, 0.363]],
  "species": ["F", "F", "F", "F", "F", "F", "F", "F", "F", "F", "F", "F", "K", "K", "K", "K", "Li", "Li", "Pt", "Pt"],
  "fractional_positions": [[0.623, 0.623, 0.127], [0.703, 0.214, 0.214], [0.214, 0.703, 0.214], [0.786, 0.786, 0.297], [0.873, 0.377, 0.377], [0.377, 0.873, 0.377], [0.623, 0.127, 0.623], [0.127, 0.623, 0.623], [0.214, 0.214, 0.703], [0.786, 0.297, 0.786], [0.297, 0.786, 0.786], [0.377, 0.377, 0.873], [0.123, 0.123, 0.123], [0.291, 0.291, 0.291], [0.709, 0.709, 0.709], [0.877, 0.877, 0.877], [0.409, 0.409, 0.409], [0.591, 0.591, 0.591], [0.000, 0.000, 0.000], [0.500, 0.500, 0.500]]
}



{
  "formula": "K2LiPtF6",
  "functional": "PBE",
  "state": "optimized geometry",
  "final_energy_ry_per_atom": -0.319,
  "crystal_system": "tetragonal",
  "cell": [[-2.762, 2.762, 4.236], [2.762, -2.762, 4.236], [2.762, 2.762, -4.236]],
  "species": ["F", "F", "F", "F", "F", "F", "K", "K", "Li", "Pt"],
  "fractional_positions": [[0.266, 0.266, 0.000], [0.734, 0.734, 0.000], [0.294, 0.792, 0.086], [0.792, 0.706, 0.498], [0.208, 0.294, 0.502], [0.706, 0.208, 0.914], [0.750, 0.250, 0.500], [0.250, 0.750, 0.500], [0.500, 0.500, 0.000], [0.000, 0.000, 0.000]]
}



Please write out number 2 again, unchanged.
{
  "formula": "K2LiPtF6",
  "functional": "PBE",
  "state": "optimized geometry",
  "final_energy_ry_per_atom": -0.319,
  "crystal_system": "monoclinic",
  "cell": [[-4.135, -3.921, 0.688], [-0.455, -0.519, -5.695], [9.586, -1.824, -0.600]],
  "species": ["F", "F", "F", "F", "F", "F", "F", "F", "F", "F", "F", "F", "K", "K", "K", "K", "Li", "Li", "Pt", "Pt"],
  "fractional_positions": [[0.777, 0.270, 0.013], [0.771, 0.787, 0.017], [0.279, 0.006, 0.250], [0.721, 0.506, 0.250], [0.229, 0.287, 0.483], [0.223, 0.770, 0.487], [0.777, 0.230, 0.513], [0.771, 0.713, 0.517], [0.279, 0.494, 0.750], [0.721, 0.994, 0.750], [0.229, 0.213, 0.983], [0.223, 0.730, 0.987], [0.749, 0.009, 0.249], [0.251, 0.509, 0.251], [0.749, 0.491, 0.749], [0.251, 0.991, 0.751], [0.000, 0.000, 0.000], [0.000, 0.500, 0.500], [0.500, 0.500, 0.000], [0.500, 0.000, 0.500]]
}